(1)
The following is a DFT calculation (PBE) of crystalline K5CeSe4 at its relaxed geometry.

Geometry as POSCAR:
```
K5CeSe4
1.0
-2.376 4.301 8.996
2.376 -4.301 8.996
2.376 4.301 -8.996
K Ce Se
5 1 4
Direct
0.000 0.000 0.000
0.082 0.327 0.756
0.429 0.673 0.756
0.571 0.327 0.244
0.918 0.673 0.244
0.500 0.000 0.500
0.270 0.500 0.770
0.324 0.824 0.500
0.676 0.176 0.500
0.730 0.500 0.230
```

Size of the total moment in μB per atom: 0.100
E_form (uncorrected) in eV/atom: -1.246
SG: No. 71

---

(2)
The following is a DFT calculation (PBE) of crystalline KCe3Se4 at its relaxed geometry.

Geometry as POSCAR:
```
KCe3Se4
1.0
4.259 0.000 0.000
-2.129 3.688 0.000
0.000 0.000 29.261
K Ce Se
2 6 8
Direct
0.333 0.667 0.250
0.667 0.333 0.750
0.000 0.000 0.000
0.000 0.000 0.500
0.333 0.667 0.616
0.333 0.667 0.884
0.667 0.333 0.116
0.667 0.333 0.384
0.000 0.000 0.173
0.000 0.000 0.327
0.000 0.000 0.673
0.000 0.000 0.827
0.333 0.667 0.058
0.333 0.667 0.442
0.667 0.333 0.558
0.667 0.333 0.942
```

Size of the total moment in μB per atom: 0.408
E_form (uncorrected) in eV/atom: -1.744
SG: No. 194

---

(3)
The following is a DFT calculation (PBE) of crystalline KCeSe4 at its relaxed geometry.

Geometry as POSCAR:
```
KCeSe4
1.0
6.374 0.000 0.000
0.000 6.374 0.000
0.000 0.000 8.454
K Ce Se
2 2 8
Direct
0.250 0.250 0.000
0.750 0.750 0.000
0.250 0.250 0.500
0.750 0.750 0.500
0.113 0.613 0.290
0.113 0.887 0.710
0.387 0.613 0.710
0.387 0.887 0.290
0.613 0.113 0.710
0.613 0.387 0.290
0.887 0.113 0.290
0.887 0.387 0.710
```

Size of the total moment in μB per atom: 0.172
E_form (uncorrected) in eV/atom: -1.143
SG: No. 125

---

(4)
The following is a DFT calculation (PBE) of crystalline KCeSe2 at its relaxed geometry.

Geometry as POSCAR:
```
KCeSe2
1.0
2.174 1.255 7.864
-2.174 1.255 7.864
0.000 -2.510 7.864
K Ce Se
1 1 2
Direct
0.000 0.000 0.000
0.830 0.830 0.830
0.233 0.233 0.233
0.427 0.427 0.427
```

Size of the total moment in μB per atom: 0.250
E_form (uncorrected) in eV/atom: -1.661
SG: No. 160

---

(5)
The following is a DFT calculation (PBE) of crystalline KCeSm4Se8 at its relaxed geometry.

Geometry as POSCAR:
```
KCeSm4Se8
1.0
4.368 2.522 7.215
-4.368 2.522 7.215
0.000 -5.044 7.215
K Ce Sm Se
1 1 4 8
Direct
0.000 0.000 0.000
0.629 0.629 0.629
0.113 0.630 0.630
0.251 0.251 0.251
0.630 0.113 0.630
0.630 0.630 0.113
0.381 0.381 0.854
0.381 0.854 0.381
0.383 0.383 0.383
0.421 0.862 0.862
0.854 0.381 0.381
0.861 0.861 0.861
0.862 0.421 0.862
0.862 0.862 0.421
```

Size of the total moment in μB per atom: 0.072
E_form (uncorrected) in eV/atom: -1.734
SG: No. 160

---

(6)
The following is a DFT calculation (PBE) of crystalline K3Ce2SmSe6 at its relaxed geometry.

Geometry as POSCAR:
```
K3Ce2SmSe6
1.0
3.771 -6.532 0.000
3.771 6.532 0.000
-2.514 0.000 7.678
K Ce Sm Se
3 2 1 6
Direct
0.000 0.000 0.000
0.333 0.667 0.000
0.667 0.333 0.000
0.167 0.833 0.500
0.833 0.167 0.500
0.500 0.500 0.500
0.100 0.430 0.291
0.239 0.239 0.709
0.430 0.100 0.291
0.570 0.900 0.709
0.761 0.761 0.291
0.900 0.570 0.709
```

Size of the total moment in μB per atom: 0.167
E_form (uncorrected) in eV/atom: -1.712
SG: No. 12

---

(7)
The following is a DFT calculation (PBE) of crystalline K2CeSmSe4 at its relaxed geometry.

Geometry as POSCAR:
```
K2CeSmSe4
1.0
7.520 0.000 0.000
0.000 4.344 0.000
-2.504 0.000 7.679
K Ce Sm Se
2 1 1 4
Direct
0.000 0.000 0.000
0.500 0.500 0.000
0.000 0.500 0.500
0.500 0.000 0.500
0.239 0.000 0.710
0.267 0.500 0.291
0.733 0.500 0.709
0.761 0.000 0.290
```

Size of the total moment in μB per atom: 0.126
E_form (uncorrected) in eV/atom: -1.723
SG: No. 10

---

(8)
The following is a DFT calculation (PBE) of crystalline K3Ce2SnSe6 at its relaxed geometry.

Geometry as POSCAR:
```
K3Ce2SnSe6
1.0
3.788 -6.558 0.000
3.788 6.558 0.000
-2.522 0.000 7.594
K Ce Sn Se
3 2 1 6
Direct
0.000 0.000 0.000
0.338 0.662 0.000
0.662 0.338 0.000
0.167 0.833 0.500
0.833 0.167 0.500
0.500 0.500 0.500
0.086 0.431 0.293
0.224 0.224 0.707
0.431 0.086 0.293
0.569 0.914 0.707
0.776 0.776 0.293
0.914 0.569 0.707
```

Size of the total moment in μB per atom: 0.085
E_form (uncorrected) in eV/atom: -1.433
SG: No. 12

---

(9)
The following is a DFT calculation (PBE) of crystalline K2CeSnSe5 at its relaxed geometry.

Geometry as POSCAR:
```
K2CeSnSe5
1.0
2.125 -9.897 0.000
2.125 9.897 0.000
0.000 0.000 14.224
K Ce Sn Se
4 2 2 10
Direct
0.118 0.882 0.500
0.128 0.872 0.152
0.872 0.128 0.652
0.882 0.118 0.000
0.212 0.788 0.856
0.788 0.212 0.356
0.439 0.561 0.245
0.561 0.439 0.745
0.051 0.949 0.860
0.301 0.699 0.484
0.311 0.689 0.210
0.345 0.655 0.829
0.498 0.502 0.595
0.502 0.498 0.095
0.655 0.345 0.329
0.689 0.311 0.710
0.699 0.301 0.984
0.949 0.051 0.360
```

Size of the total moment in μB per atom: 0.000
E_form (uncorrected) in eV/atom: -1.090
SG: No. 36

---

(10)
The following is a DFT calculation (PBE) of crystalline K3Ce3SnSe8 at its relaxed geometry.

Geometry as POSCAR:
```
K3Ce3SnSe8
1.0
4.322 2.495 7.640
-4.322 2.495 7.640
0.000 -4.991 7.640
K Ce Sn Se
3 3 1 8
Direct
0.000 0.500 0.500
0.500 0.000 0.500
0.500 0.500 0.000
0.000 0.000 0.500
0.000 0.500 0.000
0.500 0.000 0.000
0.500 0.500 0.500
0.223 0.739 0.739
0.236 0.236 0.236
0.261 0.261 0.777
0.261 0.777 0.261
0.739 0.223 0.739
0.739 0.739 0.223
0.764 0.764 0.764
0.777 0.261 0.261
```

Size of the total moment in μB per atom: 0.024
E_form (uncorrected) in eV/atom: -1.460
SG: No. 166

---

(11)
The following is a DFT calculation (PBE) of crystalline K4Ce3SnSe8 at its relaxed geometry.

Geometry as POSCAR:
```
K4Ce3SnSe8
1.0
4.379 2.528 7.604
-4.379 2.528 7.604
0.000 -5.057 7.604
K Ce Sn Se
4 3 1 8
Direct
0.000 0.000 0.000
0.000 0.500 0.500
0.500 0.000 0.500
0.500 0.500 0.000
0.000 0.000 0.500
0.000 0.500 0.000
0.500 0.000 0.000
0.500 0.500 0.500
0.226 0.740 0.740
0.236 0.236 0.236
0.260 0.260 0.774
0.260 0.774 0.260
0.740 0.226 0.740
0.740 0.740 0.226
0.764 0.764 0.764
0.774 0.260 0.260
```

Size of the total moment in μB per atom: 0.126
E_form (uncorrected) in eV/atom: -1.499
SG: No. 166

---

(12)
The following is a DFT calculation (PBE) of crystalline K3CeSn2Se6 at its relaxed geometry.

Geometry as POSCAR:
```
K3CeSn2Se6
1.0
3.737 -6.470 0.000
3.737 6.470 0.000
-2.484 0.000 7.628
K Ce Sn Se
3 1 2 6
Direct
0.000 0.000 0.000
0.329 0.671 0.000
0.671 0.329 0.000
0.500 0.500 0.500
0.166 0.834 0.500
0.834 0.166 0.500
0.106 0.432 0.296
0.243 0.243 0.706
0.432 0.106 0.296
0.568 0.894 0.704
0.757 0.757 0.294
0.894 0.568 0.704
```

Size of the total moment in μB per atom: 0.000
E_form (uncorrected) in eV/atom: -1.081
SG: No. 12